No. 1
# La4MgCo PBE-GGA optimized geometry
# - polymorph energy (0 for the lowest one) (eV/f.u.) = 0.00
# - crystal system = cubic
data_La4MgCo
_cell_length_a 14.187
_cell_length_b 14.187
_cell_length_c 14.187
_cell_angle_alpha 90.00
_cell_angle_beta 90.00
_cell_angle_gamma 90.00
_space_group_name_H-M_alt 'F -4 3 m'
_space_group_IT_number 216
_space_group_name_Hall 'F -4 2 3'
loop_
_atom_site_label
_atom_site_fract_x
_atom_site_fract_y
_atom_site_fract_z
La1 0.000 0.000 0.188
La2 0.059 0.250 0.250
La3 0.156 0.156 0.656
Mg1 0.078 0.078 0.422
Co1 0.140 0.140 0.860

No. 2
# HfTl2Cl PBE-GGA optimized geometry
# - polymorph energy (0 for the lowest one) (eV/f.u.) = 0.00
# - crystal system = tetragonal
# - energy relative to the elements, uncorrected (eV per atom) = 0.0671
data_HfTl2Cl
_cell_length_a 10.080
_cell_length_b 10.080
_cell_length_c 4.942
_cell_angle_alpha 90.00
_cell_angle_beta 90.00
_cell_angle_gamma 90.00
_space_group_name_H-M_alt 'I -4 2 d'
_space_group_IT_number 122
_space_group_name_Hall 'I -4 2bw'
loop_
_atom_site_label
_atom_site_fract_x
_atom_site_fract_y
_atom_site_fract_z
Hf1 0.000 0.000 0.000
Tl1 0.145 0.750 0.125
Cl1 0.000 0.000 0.500

No. 3
# MgCr4Mo PBE-GGA optimized geometry
# - VASP energy (eV per atom) = -8.348
# - crystal system = cubic
data_MgCr4Mo
_cell_length_a 6.843
_cell_length_b 6.843
_cell_length_c 6.843
_cell_angle_alpha 90.00
_cell_angle_beta 90.00
_cell_angle_gamma 90.00
_space_group_name_H-M_alt 'F -4 3 m'
_space_group_IT_number 216
_space_group_name_Hall 'F -4 2 3'
loop_
_atom_site_label
_atom_site_fract_x
_atom_site_fract_y
_atom_site_fract_z
Mg1 0.000 0.000 0.000
Cr1 0.126 0.126 0.374
Mo1 0.250 0.250 0.750